## w
# HgTeCN2 (PBE-GGA, relaxed)
data_HgTeCN2
_chemical_formula_sum 'Hg1 Te1 C1 N2'
_cell_length_a 3.9690
_cell_length_b 3.9690
_cell_length_c 7.9738
_cell_angle_alpha 90.00
_cell_angle_beta 90.00
_cell_angle_gamma 90.00
_symmetry_space_group_name_H-M 'P 4/m m m'
_symmetry_Int_Tables_number 123
_symmetry_space_group_name_Hall '-P 4 2'
loop_
_atom_site_label
_atom_site_fract_x
_atom_site_fract_y
_atom_site_fract_z
Hg1 0.0000 0.0000 0.0000
Te1 0.0000 0.0000 0.5000
C1 0.5000 0.5000 0.5000
N1 0.0000 0.5000 0.0000
# ρ: 4.9 Mg/m³
# D(E_F): 0.90 states/eV/atom


## x
# HgTeCN2 (PBE-GGA, relaxed)
data_HgTeCN2
_chemical_formula_sum 'Hg1 Te1 C1 N2'
_cell_length_a 3.9957
_cell_length_b 3.9957
_cell_length_c 4.6976
_cell_angle_alpha 90.00
_cell_angle_beta 90.00
_cell_angle_gamma 90.00
_symmetry_space_group_name_H-M 'P 4/m m m'
_symmetry_Int_Tables_number 123
_symmetry_space_group_name_Hall '-P 4 2'
loop_
_atom_site_label
_atom_site_fract_x
_atom_site_fract_y
_atom_site_fract_z
Hg1 0.0000 0.0000 0.0000
Te1 0.5000 0.5000 0.0000
C1 0.5000 0.5000 0.5000
N1 0.0000 0.5000 0.5000
# ρ: 8.2 Mg/m³
# D(E_F): 0.38 states/eV/atom


Best to worst by energy: x, w.


## w
# NaHg3C (PBE-GGA, relaxed)
data_NaHg3C
_chemical_formula_sum 'Na1 Hg3 C1'
_cell_length_a 5.8882
_cell_length_b 5.8882
_cell_length_c 5.8882
_cell_angle_alpha 90.00
_cell_angle_beta 90.00
_cell_angle_gamma 90.00
_symmetry_space_group_name_H-M 'P m -3 m'
_symmetry_Int_Tables_number 221
_symmetry_space_group_name_Hall '-P 4 2 3'
loop_
_atom_site_label
_atom_site_fract_x
_atom_site_fract_y
_atom_site_fract_z
Na1 0.0000 0.0000 0.0000
Hg1 0.0000 0.0000 0.5000
C1 0.5000 0.5000 0.5000
# ρ: 5.2 Mg/m³
# D(E_F): 1.61 states/eV/atom


## x
# NaHg3C (PBE-GGA, relaxed)
data_NaHg3C
_chemical_formula_sum 'Na1 Hg3 C1'
_cell_length_a 4.9143
_cell_length_b 4.9143
_cell_length_c 4.9143
_cell_angle_alpha 90.00
_cell_angle_beta 90.00
_cell_angle_gamma 90.00
_symmetry_space_group_name_H-M 'P m -3 m'
_symmetry_Int_Tables_number 221
_symmetry_space_group_name_Hall '-P 4 2 3'
loop_
_atom_site_label
_atom_site_fract_x
_atom_site_fract_y
_atom_site_fract_z
Na1 0.0000 0.0000 0.0000
Hg1 0.0000 0.5000 0.5000
C1 0.5000 0.5000 0.5000
# ρ: 8.9 Mg/m³
# D(E_F): 0.56 states/eV/atom


Best to worst by energy: x, w.


## w
# NbHg3C (PBE-GGA, relaxed)
data_NbHg3C
_chemical_formula_sum 'Nb1 Hg3 C1'
_cell_length_a 5.7247
_cell_length_b 5.7247
_cell_length_c 5.7247
_cell_angle_alpha 90.00
_cell_angle_beta 90.00
_cell_angle_gamma 90.00
_symmetry_space_group_name_H-M 'P m -3 m'
_symmetry_Int_Tables_number 221
_symmetry_space_group_name_Hall '-P 4 2 3'
loop_
_atom_site_label
_atom_site_fract_x
_atom_site_fract_y
_atom_site_fract_z
Nb1 0.0000 0.0000 0.0000
Hg1 0.0000 0.0000 0.5000
C1 0.5000 0.5000 0.5000
# ρ: 6.3 Mg/m³
# D(E_F): 2.47 states/eV/atom


## x
# NbHg3C (PBE-GGA, relaxed)
data_NbHg3C
_chemical_formula_sum 'Nb1 Hg3 C1'
_cell_length_a 4.5948
_cell_length_b 4.5948
_cell_length_c 4.5948
_cell_angle_alpha 90.00
_cell_angle_beta 90.00
_cell_angle_gamma 90.00
_symmetry_space_group_name_H-M 'P m -3 m'
_symmetry_Int_Tables_number 221
_symmetry_space_group_name_Hall '-P 4 2 3'
loop_
_atom_site_label
_atom_site_fract_x
_atom_site_fract_y
_atom_site_fract_z
Nb1 0.0000 0.0000 0.0000
Hg1 0.0000 0.5000 0.5000
C1 0.5000 0.5000 0.5000
# ρ: 12.1 Mg/m³
# D(E_F): 0.90 states/eV/atom


Best to worst by energy: x, w.


## w
# NdHgC (PBE-GGA, relaxed)
data_NdHgC
_chemical_formula_sum 'Nd4 Hg4 C4'
_cell_length_a 9.9934
_cell_length_b 4.0794
_cell_length_c 6.9270
_cell_angle_alpha 90.00
_cell_angle_beta 107.52
_cell_angle_gamma 90.00
_symmetry_space_group_name_H-M 'P 1 21/c 1'
_symmetry_Int_Tables_number 14
_symmetry_space_group_name_Hall '-P 2ybc'
loop_
_atom_site_label
_atom_site_fract_x
_atom_site_fract_y
_atom_site_fract_z
Nd1 0.1564 0.0712 0.3711
Hg1 0.4025 0.6007 0.2969
C1 0.0423 0.6102 0.4757
# ρ: 8.8 Mg/m³
# D(E_F): 0.36 states/eV/atom


## x
# NdHgC (PBE-GGA, relaxed)
data_NdHgC
_chemical_formula_sum 'Nd4 Hg4 C4'
_cell_length_a 7.8075
_cell_length_b 3.8051
_cell_length_c 9.6517
_cell_angle_alpha 90.00
_cell_angle_beta 107.28
_cell_angle_gamma 90.00
_symmetry_space_group_name_H-M 'C 1 2/m 1'
_symmetry_Int_Tables_number 12
_symmetry_space_group_name_Hall '-C 2y'
loop_
_atom_site_label
_atom_site_fract_x
_atom_site_fract_y
_atom_site_fract_z
Nd1 0.0892 0.0000 0.3469
Hg1 0.1850 0.5000 0.0974
C1 0.0883 0.5000 0.5344
# ρ: 8.7 Mg/m³
# D(E_F): 0.42 states/eV/atom


Best to worst by energy: x, w.